{"formula": "DyTm2CdHg4", "functional": "PBE", "state": "relaxed", "crystal_system": "trigonal", "formation_enthalpy_0k_ev_per_atom": -0.412, "density_g_cm3": 12.1, "cell": [[-3.8296, -1.4531, 3.0685], [-0.8807, -4.9756, 0.8126], [3.7590, -1.9881, 8.0180]], "species": ["Hg", "Hg", "Hg", "Hg", "Cd", "Tm", "Tm", "Dy"], "fractional_positions": [[0.1227, 0.1227, 0.6318], [0.3699, 0.3699, 0.8902], [0.8773, 0.8773, 0.3682], [0.6301, 0.6301, 0.1098], [0.5000, 0.5000, 0.5000], [0.2434, 0.2434, 0.2699], [0.7566, 0.7566, 0.7301], [0.0000, 0.0000, 0.0000]]}